The following is a GGA+U calculation of an optimized crystal structure of PaCoH2O6, from the Alexandria database.

a b c (Å): 4.4861 4.7307 5.6193
angles (deg): 69.36 66.75 68.52
Last column: nearest neighbours and their distance in Å.
Positions (direct):
Pa 0.0000 0.0000 0.0000  2 O 1.95
Co 0.5000 0.5000 0.5000  6 O 1.89-1.92
H 0.2870 0.0648 0.3593  1 O 1.00
H 0.7130 0.9352 0.6407  1 O 1.00
O 0.1305 0.3657 0.5415  1 O 1.46
O 0.2479 0.6740 0.8038  1 Co 1.91, 1 Pa 1.95
O 0.3952 0.8995 0.2575  1 H 1.00
O 0.6048 0.1005 0.7425  1 H 1.00
O 0.7521 0.3260 0.1962  1 Co 1.91, 1 Pa 1.95
O 0.8695 0.6343 0.4585  1 O 1.46

Raw total energy: -6.79 eV per atom
Crystal system: triclinic
V: 98.9 Å³ per cell
Magnetic moment: 0.000 μB per atom
Symmetry: No. 2